1.
{"formula": "PuSbPd2", "functional": "PBE-GGA", "state": "optimized geometry", "lattice": [[4.450, 0.000, 0.000], [0.000, 6.522, 0.000], [0.000, 0.000, 5.794]], "species": ["Pu", "Pu", "Sb", "Sb", "Pd", "Pd", "Pd", "Pd"], "frac_coords": [[0.500, 0.921, 0.716], [0.000, 0.079, 0.216], [0.000, 0.616, 0.985], [0.500, 0.384, 0.485], [0.500, 0.333, 0.005], [0.000, 0.252, 0.717], [0.000, 0.667, 0.505], [0.500, 0.748, 0.217]], "volume_a3_per_atom": 21.017, "e_form_raw_ev_per_atom": -0.5283, "relative_energy_ev_per_atom": 0.043}



2.
{"formula": "BaZnI2N", "functional": "PBE-GGA", "state": "optimized geometry", "lattice": [[-4.066, 1.162, 4.403], [-0.805, -5.993, 0.837], [2.876, -0.015, 2.659]], "species": ["I", "I", "Zn", "Ba", "N"], "frac_coords": [[0.000, 0.500, 0.000], [0.500, 0.000, 0.000], [0.000, 0.000, 0.000], [0.500, 0.500, 0.500], [0.000, 0.000, 0.500]], "volume_a3_per_atom": 29.195, "e_form_raw_ev_per_atom": -0.2837, "relative_energy_ev_per_atom": 0.000}



Number 2 is which compound?
BaZnI2N